The following is a PBE calculation of an optimized crystal structure of Ce2MgRh4, from Alexandria.

```
Ce2MgRh4
1.0
5.2587 -0.5017 -2.2368
-1.4041 4.8628 -2.6455
-2.3209 -2.2161 7.9758
Rh Mg Ce
4 1 2
Direct
0.2644 0.2641 0.5009
0.0000 0.5000 0.0000
0.7356 0.7359 0.4991
0.5000 0.0000 0.0000
0.0000 0.0000 0.0000
0.7963 0.2050 0.5008
0.2037 0.7950 0.4992
```

Values from the calculation:
Its space group is P-1. The energy relative to the elements comes out at -669 meV/atom.

---

The following is a PBE calculation of an optimized crystal structure of Li2AlCd, from Alexandria.

```
Li2AlCd
1.0
-2.8690 6.9152 0.3174
-4.3683 -1.5420 -5.8899
-5.6175 1.7783 -1.0661
Li Al Cd
4 2 2
Direct
0.6246 0.1250 0.2500
0.3750 0.3754 0.7500
0.8750 0.8746 0.7500
0.1254 0.6250 0.2500
0.2500 0.7500 0.5000
0.5000 0.5000 0.0000
0.0000 0.0000 0.0000
0.7500 0.2500 0.5000
```

Values from the calculation:
Its space group is I-42d. The energy relative to the elements comes out at 81 meV/atom.

---

The following is a PBE calculation of an optimized crystal structure of VTcP2, from Alexandria.

```
VTcP2
1.0
0.9731 -1.1226 3.8881
-2.0791 1.6269 3.2179
-2.6197 -2.3723 2.1986
P V Tc
2 1 1
Direct
0.7500 0.7500 0.7500
0.2500 0.2500 0.2500
0.0000 0.0000 0.0000
0.5000 0.5000 0.5000
```

Values from the calculation:
Its space group is Fm-3m. For the distance to the lowest polymorph of the same formula, the calculation gives 0.98 eV/f.u. The energy relative to the elements comes out at -406 meV/atom.

---

The following is a PBE calculation of an optimized crystal structure of CoMo2Ir, from Alexandria.

```
CoMo2Ir
1.0
0.0000 3.0831 3.0831
3.0831 0.0000 3.0831
3.0831 3.0831 0.0000
Co Ir Mo
1 1 2
Direct
0.0000 0.0000 0.0000
0.5000 0.5000 0.5000
0.2500 0.2500 0.2500
0.7500 0.7500 0.7500
```

Values from the calculation:
Its space group is Fm-3m. For the distance to the lowest polymorph of the same formula, the calculation gives 1.70 eV/f.u. The energy relative to the elements comes out at 291 meV/atom.

---

The following is a PBE calculation of an optimized crystal structure of Ti2FeHOs, from Alexandria.

```
Ti2FeHOs
1.0
-3.6423 1.5183 -1.5903
-2.1785 -2.9078 2.2134
-0.2243 2.0460 2.4671
Ti H Os Fe
2 1 1 1
Direct
0.0000 0.5000 0.0000
0.5000 0.0000 0.0000
0.0000 0.0000 0.0000
0.5000 0.5000 0.5000
0.0000 0.0000 0.5000
```

Values from the calculation:
Its space group is P4/mmm. Its total energy is -8.212 eV per atom.

---

The following is a PBE calculation of an optimized crystal structure of Ce2BeIr3, from Alexandria.

```
Ce2BeIr3
1.0
-4.0969 -1.1584 -2.6442
-3.8336 -1.3759 2.9204
-3.5357 3.5390 0.3056
Ce Ir Be
2 3 1
Direct
0.6253 0.6253 0.6253
0.3747 0.3747 0.3747
0.0000 0.5000 0.0000
0.5000 0.0000 0.0000
0.0000 0.0000 0.5000
0.0000 0.0000 0.0000
```

Values from the calculation:
Its space group is R-3m. For the distance to the lowest polymorph of the same formula, the calculation gives 0.00 eV/f.u. The energy relative to the elements comes out at -757 meV/atom.

---

| no. | M_tot (Bohr magnetons per cell) |
| --- | --- |
| 1 | 0.00 |
| 2 | 0.00 |
| 3 | 0.71 |
| 4 | 2.12 |
| 5 | 0.19 |
| 6 | 0.00 |